1.
# GGA-PBE Ac6Ir5, optimized geometry
data_Ac6Ir5
_cell_length_a 7.436
_cell_length_b 7.436
_cell_length_c 7.488
_cell_angle_alpha 99.24
_cell_angle_beta 99.24
_cell_angle_gamma 119.37
_symmetry_space_group_name_H-M 'P 1'
_symmetry_Int_Tables_number 1
loop_
_symmetry_equiv_pos_as_xyz
'x,y,z'
loop_
_atom_site_label
_atom_site_type_symbol
_atom_site_fract_x
_atom_site_fract_y
_atom_site_fract_z
Ac1 Ac 0.059 0.411 0.736
Ac2 Ac 0.231 0.231 0.247
Ac3 Ac 0.411 0.059 0.736
Ac4 Ac 0.589 0.941 0.264
Ac5 Ac 0.769 0.769 0.753
Ac6 Ac 0.941 0.589 0.264
Ir1 Ir 0.000 0.000 0.500
Ir2 Ir 0.170 0.830 0.000
Ir3 Ir 0.348 0.652 0.500
Ir4 Ir 0.652 0.348 0.500
Ir5 Ir 0.830 0.170 0.000
# Total moment: 0.000 μB/atom
# Symmetry: C2/m


2.
# GGA-PBE Ac5Ir, optimized geometry
data_Ac5Ir
_cell_length_a 9.615
_cell_length_b 9.615
_cell_length_c 6.403
_cell_angle_alpha 90.00
_cell_angle_beta 90.00
_cell_angle_gamma 155.49
_symmetry_space_group_name_H-M 'P 1'
_symmetry_Int_Tables_number 1
loop_
_symmetry_equiv_pos_as_xyz
'x,y,z'
loop_
_atom_site_label
_atom_site_type_symbol
_atom_site_fract_x
_atom_site_fract_y
_atom_site_fract_z
Ac1 Ac 0.000 0.000 0.000
Ac2 Ac 0.113 0.887 0.500
Ac3 Ac 0.334 0.666 0.000
Ac4 Ac 0.666 0.334 0.000
Ac5 Ac 0.887 0.113 0.500
Ir1 Ir 0.500 0.500 0.500
# Total moment: 0.000 μB/atom
# Symmetry: Cmmm


3.
# GGA-PBE Ac2Ir, optimized geometry
data_Ac2Ir
_cell_length_a 11.017
_cell_length_b 11.017
_cell_length_c 11.017
_cell_angle_alpha 92.33
_cell_angle_beta 92.33
_cell_angle_gamma 156.73
_symmetry_space_group_name_H-M 'P 1'
_symmetry_Int_Tables_number 1
loop_
_symmetry_equiv_pos_as_xyz
'x,y,z'
loop_
_atom_site_label
_atom_site_type_symbol
_atom_site_fract_x
_atom_site_fract_y
_atom_site_fract_z
Ac1 Ac 0.044 0.342 0.386
Ac2 Ac 0.306 0.346 0.653
Ac3 Ac 0.342 0.956 0.298
Ac4 Ac 0.346 0.694 0.040
Ac5 Ac 0.654 0.306 0.960
Ac6 Ac 0.658 0.044 0.702
Ac7 Ac 0.694 0.654 0.347
Ac8 Ac 0.956 0.658 0.614
Ir1 Ir 0.151 0.676 0.827
Ir2 Ir 0.324 0.151 0.475
Ir3 Ir 0.676 0.849 0.525
Ir4 Ir 0.849 0.324 0.173
# Total moment: 0.000 μB/atom
# Distance to the lowest polymorph of the same formula: 0.056 eV/atom
# Symmetry: I4/m


Calculated formation energy / eV/f.u.: -6.06; -0.11; -1.61
Calculated total energy / eV per formula unit: -75.02; -29.51; -18.69